(1)
CaNdTm4 | PBE | relaxed

a = 6.616 Å, b = 6.616 Å, c = 6.616 Å
α = 60.00°, β = 60.00°, γ = 60.00°
Fractional positions:
Ca 0.000 0.000 0.000
Nd 0.750 0.750 0.750
Tm 0.376 0.376 0.376
Tm 0.376 0.376 0.872
Tm 0.376 0.872 0.376
Tm 0.872 0.376 0.376

Properties
- SG = No. 216
- formation energy from the elements (eV/atom) = 0.225
- magnetization (μB/cell) = 0.00
- DOS(E_F) (states/eV per cell) = 8.5


(2)
PrCu6Rh2 | PBE | relaxed

a = 6.830 Å, b = 6.830 Å, c = 6.830 Å
α = 142.57°, β = 132.61°, γ = 61.89°
Fractional positions:
Pr 0.000 0.000 0.000
Cu 0.065 0.297 0.768
Cu 0.298 0.500 0.798
Cu 0.471 0.703 0.768
Cu 0.529 0.297 0.232
Cu 0.702 0.500 0.202
Cu 0.935 0.703 0.232
Rh 0.385 0.885 0.500
Rh 0.615 0.115 0.500

Properties
- SG = No. 71
- formation energy from the elements (eV/atom) = 0.056
- magnetization (μB/cell) = 0.00
- DOS(E_F) (states/eV per cell) = 4.8


(3)
NbCdO2 | PBE | relaxed

a = 4.108 Å, b = 4.108 Å, c = 4.108 Å
α = 60.00°, β = 60.00°, γ = 60.00°
Fractional positions:
Nb 0.000 0.000 0.000
Cd 0.500 0.500 0.500
O 0.250 0.250 0.250
O 0.750 0.750 0.750

Properties
- SG = No. 225
- magnetization (μB/cell) = 1.13
- DOS(E_F) (states/eV per cell) = 2.1
- polymorph energy (0 for the lowest one) (eV per formula unit) = 4.41
- E_form (uncorrected) (eV/atom) = -0.534


(4)
HgPt2Br | PBE | relaxed

a = 8.008 Å, b = 8.008 Å, c = 8.008 Å
α = 26.51°, β = 26.51°, γ = 26.51°
Fractional positions:
Hg 0.000 0.000 0.000
Pt 0.480 0.480 0.480
Pt 0.746 0.746 0.746
Br 0.212 0.212 0.212

Properties
- SG = No. 160
- magnetization (μB/cell) = 0.00
- DOS(E_F) (states/eV per cell) = 2.9
- polymorph energy (0 for the lowest one) (eV per formula unit) = 0.21
- E_form (uncorrected) (eV/atom) = 0.197


(5)
Y2ScH4 | PBE | relaxed

a = 6.896 Å, b = 6.896 Å, c = 6.896 Å
α = 148.11°, β = 148.11°, γ = 45.72°
Fractional positions:
Y 0.162 0.162 0.000
Y 0.838 0.838 0.000
Sc 0.500 0.500 0.000
H 0.000 0.500 0.500
H 0.338 0.338 0.000
H 0.500 0.000 0.500
H 0.662 0.662 0.000

Properties
- SG = No. 139
- magnetization (μB/cell) = 0.00
- DFT total energy (eV per atom) = -5.00
- DOS(E_F) (states/eV per cell) = 5.1


(6)
LiTl2In2Cl6 | PBE | relaxed

a = 6.601 Å, b = 6.601 Å, c = 8.643 Å
α = 108.90°, β = 108.90°, γ = 71.86°
Fractional positions:
Li 0.000 0.000 0.000
Tl 0.186 0.186 0.642
Tl 0.814 0.814 0.358
In 0.426 0.426 0.309
In 0.574 0.574 0.691
Cl 0.172 0.685 0.732
Cl 0.233 0.233 0.014
Cl 0.315 0.828 0.268
Cl 0.685 0.172 0.732
Cl 0.767 0.767 0.986
Cl 0.828 0.315 0.268

Properties
- SG = No. 12
- magnetization (μB/cell) = 0.00
- DOS(E_F) (states/eV per cell) = 4.3
- E_form (uncorrected) (eV/atom) = -1.029